Entry 1:
Below is an optimized crystal structure of BaHoS3, with properties calculated at the GGA-PBE level.

a = 6.9395 Å, b = 7.4503 Å, c = 7.4503 Å
α = 120.00°, β = 90.00°, γ = 90.00°
Each line ends with the local moment (μB).
Fractional coordinates of all 10 atoms:
Ho 0.2500 0.0000 0.0000  -0.02
Ho 0.7500 0.0000 0.0000  -0.02
S 0.0000 0.7185 0.7185  0.21
S 0.5000 0.7185 0.0000  0.21
S 0.0000 0.2815 0.0000  0.21
Ba 0.7500 0.3333 0.6667  0.01
Ba 0.2500 0.6667 0.3333  0.01
S 0.5000 0.2815 0.2815  0.21
S 0.0000 0.0000 0.2815  0.21
S 0.5000 0.0000 0.7185  0.21

Calculated values
- Density of states at the Fermi level: 8.9 states/eV/cell
- Electronic total energy: -5.416 eV/atom
- Total magnetic moment: 2.1 μB per cell


Entry 2:
Below is an optimized crystal structure of Zr2V3Si4, with properties calculated at the GGA-PBE level.

a = 6.5222 Å, b = 6.6451 Å, c = 6.6352 Å
α = 90.00°, β = 90.00°, γ = 109.47°
Fractional coordinates of all 18 atoms:
Zr 0.9401 0.8104 0.8299
V 0.2529 0.7470 0.1703
Si 0.6397 0.9182 0.0421
Si 0.1397 0.9182 0.4579
Si 0.3692 0.4996 0.3712
Zr 0.5599 0.1896 0.3299
Si 0.6308 0.5004 0.6288
Zr 0.4401 0.8104 0.6701
V 0.2471 0.2530 0.6703
V 0.0000 0.5000 0.5000
Si 0.3603 0.0818 0.9579
V 0.5000 0.5000 0.0000
Si 0.8603 0.0818 0.5421
Si 0.1308 0.5004 0.8712
V 0.7529 0.7470 0.3297
Si 0.8692 0.4996 0.1288
Zr 0.0599 0.1896 0.1701
V 0.7471 0.2530 0.8297

Calculated values
- Density of states at the Fermi level: 8.0 states/eV/cell
- Electronic total energy: -8.144 eV/atom
- Total magnetic moment: 0.0 μB per cell


Entry 3:
Below is an optimized crystal structure of La2YTl3, with properties calculated at the GGA-PBE level.

a = 3.8634 Å, b = 3.8634 Å, c = 12.1085 Å
α = 90.00°, β = 90.00°, γ = 90.00°
Fractional coordinates of all 6 atoms:
La 0.5000 0.5000 0.8262
Tl 0.0000 0.0000 0.3488
Tl 0.0000 0.0000 0.0000
La 0.5000 0.5000 0.1738
Y 0.5000 0.5000 0.5000
Tl 0.0000 0.0000 0.6512

Calculated values
- Density of states at the Fermi level: 4.8 states/eV/cell
- Total magnetic moment: 0.0 μB per cell
- Relative energy among the computed polymorphs: 0 meV/atom
- Formation energy from the elements: -0.416 eV per atom


Entry 4:
Below is an optimized crystal structure of CuIr2Br, with properties calculated at the GGA-PBE level.

a = 5.8337 Å, b = 5.8337 Å, c = 6.4406 Å
α = 63.07°, β = 63.07°, γ = 90.00°
Fractional coordinates of all 8 atoms:
Br 0.7500 0.2500 0.5000
Cu 0.2500 0.7500 0.5000
Cu 0.5000 0.5000 0.0000
Ir 0.8750 0.8759 0.7500
Ir 0.1241 0.6250 0.2500
Ir 0.3750 0.3741 0.7500
Br 0.0000 0.0000 0.0000
Ir 0.6259 0.1250 0.2500

Calculated values
- Density of states at the Fermi level: 4.8 states/eV/cell
- Total magnetic moment: 0.0 μB per cell
- Relative energy among the computed polymorphs: 957 meV/atom


Entry 5:
Below is an optimized crystal structure of Ac3Tl4GeO8, with properties calculated at the GGA-PBE level.

a = 7.2617 Å, b = 7.6287 Å, c = 7.7355 Å
α = 112.58°, β = 117.99°, γ = 90.00°
Fractional coordinates of all 16 atoms:
O 0.8619 0.3818 0.0903
Tl 0.0000 0.0000 0.0000
O 0.1381 0.6182 0.9097
Tl 0.5000 0.0000 0.0000
Ac 0.5000 0.5000 0.0000
Tl 0.5000 0.0000 0.5000
O 0.3009 0.3268 0.6018
Ac 0.0000 0.5000 0.5000
O 0.2906 0.7385 0.5812
Ge 0.0000 0.5000 0.0000
O 0.2285 0.3818 0.0903
O 0.6991 0.6732 0.3982
Ac 0.5000 0.5000 0.5000
O 0.7094 0.2615 0.4188
O 0.7715 0.6182 0.9097
Tl 0.0000 0.0000 0.5000

Calculated values
- Density of states at the Fermi level: 2.4 states/eV/cell
- Electronic total energy: -5.941 eV/atom
- Total magnetic moment: 0.0 μB per cell


Entry 6:
Below is an optimized crystal structure of Ca3Al5F12, with properties calculated at the GGA-PBE level.

a = 12.1003 Å, b = 12.1003 Å, c = 12.1003 Å
α = 109.47°, β = 109.47°, γ = 109.47°
Fractional coordinates of all 80 atoms:
F 0.8902 0.8588 0.3261
Al 0.5000 0.0000 0.0000
Ca 0.2500 0.6250 0.8750
F 0.0327 0.3588 0.9686
Ca 0.3750 0.7500 0.6250
F 0.0314 0.8902 0.5641
F 0.1412 0.1098 0.1739
Al 0.7500 0.1250 0.8750
F 0.6739 0.6412 0.1098
F 0.4359 0.6098 0.9686
F 0.8588 0.8902 0.8261
F 0.4673 0.9359 0.8261
F 0.6412 0.9673 0.5314
Al 0.8750 0.2500 0.6250
Al 0.5000 0.5000 0.0000
F 0.8261 0.4359 0.4673
Ca 0.6250 0.3750 0.7500
Ca 0.3750 0.6250 0.2500
F 0.9359 0.4686 0.1098
F 0.5641 0.3902 0.0314
F 0.0641 0.5314 0.8902
Al 0.7500 0.6250 0.3750
F 0.5327 0.0641 0.1739
F 0.4686 0.9359 0.6098
F 0.6098 0.1739 0.6412
Ca 0.7500 0.3750 0.1250
Ca 0.7500 0.8750 0.6250
F 0.3588 0.0327 0.4686
Ca 0.8750 0.7500 0.1250
Al 0.0000 0.5000 0.0000
F 0.5641 0.1739 0.0327
F 0.0314 0.1412 0.9673
F 0.3902 0.8261 0.3588
F 0.1412 0.0314 0.4673
F 0.5314 0.4673 0.6412
F 0.6412 0.6739 0.6098
F 0.5327 0.4686 0.8588
Al 0.5000 0.0000 0.5000
Ca 0.1250 0.8750 0.7500
Al 0.0000 0.5000 0.5000
F 0.1739 0.5641 0.5327
F 0.8261 0.3902 0.8588
F 0.1098 0.1412 0.6739
Ca 0.1250 0.2500 0.8750
F 0.8902 0.0314 0.0641
F 0.4359 0.8261 0.9673
Al 0.1250 0.3750 0.2500
Ca 0.6250 0.2500 0.3750
F 0.9686 0.8588 0.0327
Al 0.2500 0.3750 0.6250
F 0.3902 0.5641 0.5314
F 0.3588 0.3261 0.3902
F 0.3261 0.3588 0.8902
F 0.0641 0.5327 0.6739
Al 0.8750 0.6250 0.7500
Al 0.5000 0.5000 0.5000
Al 0.2500 0.8750 0.1250
Al 0.6250 0.7500 0.8750
F 0.4686 0.5327 0.3588
F 0.3261 0.9673 0.9359
Ca 0.8750 0.1250 0.2500
F 0.5314 0.0641 0.3902
F 0.9673 0.3261 0.4359
F 0.9686 0.1098 0.4359
F 0.4673 0.5314 0.1412
Al 0.0000 0.0000 0.5000
Al 0.0000 0.0000 0.0000
Al 0.3750 0.1250 0.7500
Ca 0.2500 0.1250 0.3750
Al 0.3750 0.2500 0.1250
F 0.1098 0.9686 0.9359
F 0.6739 0.0327 0.0641
F 0.1739 0.6098 0.1412
Al 0.6250 0.8750 0.2500
F 0.9673 0.6412 0.0314
F 0.6098 0.4359 0.4686
F 0.9359 0.4673 0.3261
Al 0.1250 0.7500 0.3750
F 0.0327 0.6739 0.5641
F 0.8588 0.9686 0.5327

Calculated values
- Density of states at the Fermi level: 17.5 states/eV/cell
- Electronic total energy: -5.020 eV/atom
- Total magnetic moment: 0.0 μB per cell


Entry 7:
Below is an optimized crystal structure of ThTeP, with properties calculated at the GGA-PBE level.

a = 4.3553 Å, b = 4.7666 Å, c = 4.7666 Å
α = 120.00°, β = 90.00°, γ = 90.00°
Fractional coordinates of all 3 atoms:
P 0.1671 0.0000 0.0000
Th 0.1663 0.3333 0.6667
Te 0.6666 0.6667 0.3333

Calculated values
- Density of states at the Fermi level: 3.3 states/eV/cell
- Electronic total energy: -6.068 eV/atom
- Total magnetic moment: 0.0 μB per cell


Entry 8:
Below is an optimized crystal structure of ZnIr2S, with properties calculated at the GGA-PBE level.

a = 4.3108 Å, b = 4.3108 Å, c = 4.3108 Å
α = 60.00°, β = 60.00°, γ = 60.00°
Fractional coordinates of all 4 atoms:
Zn 0.5000 0.5000 0.5000
S 0.0000 0.0000 0.0000
Ir 0.7500 0.7500 0.7500
Ir 0.2500 0.2500 0.2500

Calculated values
- Density of states at the Fermi level: 3.6 states/eV/cell
- Electronic total energy: -5.362 eV/atom
- Total magnetic moment: 0.0 μB per cell


Entry 9:
Below is an optimized crystal structure of Ba2AlGaAg, with properties calculated at the GGA-PBE level.

a = 6.4945 Å, b = 4.6946 Å, c = 6.4945 Å
α = 90.00°, β = 90.00°, γ = 90.00°
Fractional coordinates of all 5 atoms:
Ag 0.5000 0.5000 0.5000
Ba 0.5000 0.0000 0.0000
Ba 0.0000 0.0000 0.5000
Al 0.0000 0.0000 0.0000
Ga 0.0000 0.5000 0.0000

Calculated values
- Density of states at the Fermi level: 3.2 states/eV/cell
- Total magnetic moment: 0.0 μB per cell
- Formation energy from the elements: 0.050 eV per atom


Entry 10:
Below is an optimized crystal structure of Ce3Si2Ru3, with properties calculated at the GGA-PBE level.

a = 5.6181 Å, b = 7.4824 Å, c = 14.9280 Å
α = 90.00°, β = 90.00°, γ = 90.00°
Fractional coordinates of all 32 atoms:
Ce 0.3558 0.9692 0.3926
Ru 0.4282 0.6773 0.2500
Ce 0.1442 0.4692 0.1074
Ce 0.8902 0.8241 0.2500
Si 0.1441 0.8870 0.6025
Ru 0.5718 0.3227 0.7500
Si 0.8559 0.1130 0.3975
Ce 0.3902 0.6759 0.7500
Ru 0.0850 0.1789 0.9664
Ru 0.5850 0.3211 0.4664
Si 0.1441 0.8870 0.8975
Ru 0.5850 0.3211 0.0336
Ce 0.1098 0.1759 0.7500
Si 0.3559 0.3870 0.6025
Ru 0.4150 0.6789 0.9664
Si 0.6441 0.6130 0.3975
Si 0.6441 0.6130 0.1025
Ce 0.6442 0.0308 0.6074
Ru 0.0850 0.1789 0.5336
Ru 0.4150 0.6789 0.5336
Ce 0.8558 0.5308 0.6074
Ru 0.9282 0.8227 0.7500
Ru 0.9150 0.8211 0.0336
Ce 0.6098 0.3241 0.2500
Ru 0.9150 0.8211 0.4664
Ce 0.6442 0.0308 0.8926
Si 0.3559 0.3870 0.8975
Ru 0.0718 0.1773 0.2500
Ce 0.8558 0.5308 0.8926
Ce 0.3558 0.9692 0.1074
Si 0.8559 0.1130 0.1025
Ce 0.1442 0.4692 0.3926

Calculated values
- Density of states at the Fermi level: 35.1 states/eV/cell
- Electronic total energy: -7.732 eV/atom
- Total magnetic moment: 0.0 μB per cell


Entry 11:
Below is an optimized crystal structure of PuCl6, with properties calculated at the GGA-PBE level.

a = 6.8174 Å, b = 11.7506 Å, c = 13.0588 Å
α = 90.00°, β = 90.00°, γ = 90.00°
Each line ends with the local moment (μB).
Fractional coordinates of all 28 atoms:
Cl 0.2420 0.3981 0.0257  -0.13
Cl 0.1229 0.2500 0.2476  -0.13
Cl 0.0634 0.6020 0.2673  -0.13
Cl 0.5634 0.3980 0.2327  -0.13
Pu 0.0970 0.2500 0.6290  2.96
Cl 0.2420 0.1019 0.0257  -0.13
Cl 0.7420 0.6019 0.4743  -0.13
Cl 0.7580 0.8981 0.9743  -0.13
Cl 0.8167 0.2500 0.5102  -0.13
Cl 0.2580 0.1019 0.5257  -0.13
Cl 0.6833 0.2500 0.0102  -0.13
Cl 0.0634 0.8980 0.2673  -0.13
Cl 0.7580 0.6019 0.9743  -0.13
Pu 0.9030 0.7500 0.3710  2.96
Cl 0.2580 0.3981 0.5257  -0.13
Cl 0.9366 0.1020 0.7327  -0.13
Cl 0.4366 0.6020 0.7673  -0.13
Cl 0.3167 0.7500 0.9898  -0.13
Cl 0.3771 0.2500 0.7476  -0.13
Cl 0.7420 0.8981 0.4743  -0.13
Cl 0.8771 0.7500 0.7524  -0.13
Cl 0.5634 0.1020 0.2327  -0.13
Cl 0.1833 0.7500 0.4898  -0.13
Cl 0.9366 0.3980 0.7327  -0.13
Cl 0.6229 0.7500 0.2524  -0.13
Pu 0.5970 0.7500 0.8710  2.96
Pu 0.4030 0.2500 0.1290  2.96
Cl 0.4366 0.8980 0.7673  -0.13

Calculated values
- Density of states at the Fermi level: 32.8 states/eV/cell
- Electronic total energy: -4.802 eV/atom
- Total magnetic moment: 8.0 μB per cell


Entry 12:
Below is an optimized crystal structure of Ac8InPb6, with properties calculated at the GGA-PBE level.

a = 4.5701 Å, b = 12.0506 Å, c = 12.0506 Å
α = 120.00°, β = 90.00°, γ = 90.00°
Fractional coordinates of all 15 atoms:
Pb 0.2540 0.6040 0.0856
Ac 0.2491 0.3333 0.6667
Ac 0.7560 0.2292 0.3003
Ac 0.2440 0.7708 0.6997
Pb 0.7460 0.3960 0.9144
Ac 0.7509 0.6667 0.3333
Pb 0.7460 0.5185 0.6040
Pb 0.2540 0.4815 0.3960
Ac 0.7560 0.0712 0.7708
Pb 0.2540 0.9144 0.5185
Ac 0.2440 0.9288 0.2292
Ac 0.7560 0.6997 0.9288
In 0.5000 0.0000 0.0000
Ac 0.2440 0.3003 0.0712
Pb 0.7460 0.0856 0.4815

Calculated values
- Density of states at the Fermi level: 12.9 states/eV/cell
- Total magnetic moment: 0.0 μB per cell
- Formation energy from the elements: -0.394 eV per atom